The following is a PBE+U calculation of an optimized crystal structure of Sr3Fe2RuO9, from Alexandria via LeMat-Bulk.

a = 5.611 Å, b = 5.611 Å, c = 6.890 Å
α = 90.00°, β = 90.00°, γ = 120.00°
Site moments in Bohr magnetons follow the coordinates.
Positions (direct):
1 Fe 0.667 0.333 0.843  4.29
2 O 0.165 0.835 0.338  0.16
3 O 0.500 0.500 0.000  0.16
4 Fe 0.333 0.667 0.157  4.29
5 O 0.500 0.000 0.000  0.16
6 O 0.000 0.500 0.000  0.16
7 O 0.329 0.165 0.662  0.16
8 O 0.835 0.165 0.662  0.16
9 Sr 0.333 0.667 0.675  0.01
10 O 0.165 0.329 0.338  0.16
11 Sr 0.000 0.000 0.000  0.00
12 O 0.835 0.671 0.662  0.16
13 Ru 0.000 0.000 0.500  1.56
14 Sr 0.667 0.333 0.325  0.01
15 O 0.671 0.835 0.338  0.16

- total moment (μB/cell) = 11.98
- ΔE to the lowest computed polymorph (meV per atom) = 0
- N(E_F) (states/eV per cell) = 7.44
- E (eV/atom) = -6.6093